(a)
Computed, not measured: a relaxed MnReSnCSe crystal at the PBE level of DFT.

a = 3.1218 Å, b = 3.1218 Å, c = 29.8269 Å
α = 90.00°, β = 90.00°, γ = 120.00°
Space group R3m (No. 160, hexagonal axes)
Inequivalent atoms, fractional coordinates:
Mn1 0.0000 0.0000 0.0000 x3
Re1 0.0000 0.0000 0.5954 x3
Sn1 0.0000 0.0000 0.1814 x3
C1 0.0000 0.0000 0.2974 x3
Se1 0.0000 0.0000 0.3898 x3

***

(b)
Computed, not measured: a relaxed MnReSnCSe crystal at the PBE level of DFT.

a = 3.195 Å, b = 3.195 Å, c = 9.821 Å
α = 81.65°, β = 81.24°, γ = 60.02°
Space group P1 (No. 1)
Inequivalent atoms, fractional coordinates:
Mn1 0.000 0.000 0.000 x1
Re1 0.603 0.611 0.195 x1
Sn1 0.414 0.400 0.758 x1
C1 0.315 0.317 0.056 x1
Se1 0.877 0.894 0.375 x1

***

Among the structures shown above, (b) is the most stable, with the second-best lying 0.017 eV/atom higher.